[1]
La2TlRuN, optimized geometry, DFT PBE; D(E_F) = 0.801 states/eV per atom; size of the total moment = 0.000 μB/atom; space-group type = P4/mmm, No. 123; VASP energy = -6.5523 eV per atom
1.0
5.378 0.000 0.000
0.000 5.378 0.000
0.000 0.000 3.935
La Tl N Ru
2 1 1 1
Direct
0.500 0.000 0.000
0.000 0.500 0.000
0.500 0.500 0.500
0.000 0.000 0.000
0.000 0.000 0.500

[2]
CaH2Pt2, optimized geometry, DFT PBE; D(E_F) = 0.321 states/eV per atom; size of the total moment = 0.000 μB/atom; space-group type = I4/mmm, No. 139; VASP energy = -4.4891 eV per atom
1.0
3.850 0.000 0.000
0.000 3.850 0.000
1.925 1.925 4.872
H Pt Ca
2 2 1
Direct
0.750 0.250 0.500
0.250 0.750 0.500
0.285 0.285 0.431
0.715 0.715 0.569
0.000 0.000 0.000

- Which of these has the highest VASP energy?
  CaH2Pt2

- size of the total moment of number 2 (CaH2Pt2)?
  0.000 μB/atom

- VASP energy of number 1 (La2TlRuN)?
  -6.5523 eV per atom